(1)
Ho4HgRh (PBE, optimized geometry); DFT formation energy = -0.554 eV/atom; SG = F-43m (216)
1.0
-1.5468 0.1702 9.4021
-8.4134 -2.7949 3.4963
-0.6615 -8.1656 4.8688
Ho Rh Hg
16 4 4
Direct
0.1867 0.1867 0.8133
0.8053 0.3982 0.3982
0.8133 0.1867 0.1867
0.8133 0.8133 0.1867
0.1867 0.8133 0.1867
0.3982 0.3982 0.8053
0.1867 0.8133 0.8133
0.5607 0.5607 0.9393
0.5607 0.9393 0.5607
0.5607 0.9393 0.9393
0.9393 0.5607 0.5607
0.3982 0.3982 0.3982
0.3982 0.8053 0.3982
0.8133 0.1867 0.8133
0.9393 0.9393 0.5607
0.9393 0.5607 0.9393
0.1793 0.6069 0.6069
0.6069 0.6069 0.6069
0.6069 0.1793 0.6069
0.6069 0.6069 0.1793
0.5050 0.1650 0.1650
0.1650 0.1650 0.1650
0.1650 0.1650 0.5050
0.1650 0.5050 0.1650


(2)
SrEuCdGa (PBE, optimized geometry); DFT formation energy = -0.363 eV/atom; SG = F-43m (216)
1.0
5.5335 0.0000 0.0000
2.7668 4.7922 0.0000
2.7668 1.5974 4.5181
Cd Eu Ga Sr
1 1 1 1
Direct
0.7500 0.7500 0.7500
0.5000 0.5000 0.5000
0.2500 0.2500 0.2500
0.0000 0.0000 0.0000


(3)
ErPu6S8 (PBE, optimized geometry); formation energy without anion corrections = -1798 meV/atom; SG = Fm-3m (225)
1.0
-0.1658 -7.3182 3.0316
6.7756 -3.7357 1.7062
2.0651 -1.2066 7.5534
Pu S Er
6 8 1
Direct
0.0000 0.5000 0.0000
0.0000 0.0000 0.5000
0.0000 0.5000 0.5000
0.5000 0.5000 0.0000
0.5000 0.0000 0.5000
0.5000 0.0000 0.0000
0.2445 0.7555 0.2445
0.2500 0.2500 0.2500
0.7500 0.7500 0.7500
0.2445 0.2445 0.7555
0.7555 0.2445 0.7555
0.2445 0.7555 0.7555
0.7555 0.7555 0.2445
0.7555 0.2445 0.2445
0.0000 0.0000 0.0000


Calculated total magnetic moment in order - 0.000; 7.002; 33.900 μB per cell